Entry 1:
# PmHo3Hg4 (PBE-GGA, optimized geometry)
# Offset from the most stable computed form (meV/atom): 0
# ΔH_f (0 K) (eV/f.u.): -3.81
data_PmHo3Hg4
_cell_length_a 10.486
_cell_length_b 7.574
_cell_length_c 5.244
_cell_angle_alpha 90.00
_cell_angle_beta 90.00
_cell_angle_gamma 90.00
_symmetry_space_group_name_H-M 'P 1'
_symmetry_Int_Tables_number 1
loop_
_symmetry_equiv_pos_as_xyz
'x,y,z'
loop_
_atom_site_label
_atom_site_type_symbol
_atom_site_fract_x
_atom_site_fract_y
_atom_site_fract_z
Pm1 Pm 0.000 0.000 0.000
Pm2 Pm 0.500 0.000 0.000
Ho1 Ho 0.000 0.500 0.000
Ho2 Ho 0.250 0.000 0.499
Ho3 Ho 0.250 0.500 0.499
Ho4 Ho 0.500 0.500 0.000
Ho5 Ho 0.750 0.000 0.501
Ho6 Ho 0.750 0.500 0.501
Hg1 Hg 0.000 0.259 0.500
Hg2 Hg 0.000 0.741 0.500
Hg3 Hg 0.250 0.259 0.999
Hg4 Hg 0.250 0.741 0.999
Hg5 Hg 0.500 0.259 0.500
Hg6 Hg 0.500 0.741 0.500
Hg7 Hg 0.750 0.259 0.001
Hg8 Hg 0.750 0.741 0.001


Entry 2:
# TbTh2Au4 (PBE-GGA, optimized geometry)
# ΔH_f (0 K) (eV/f.u.): -3.93
data_TbTh2Au4
_cell_length_a 7.545
_cell_length_b 7.545
_cell_length_c 7.545
_cell_angle_alpha 138.90
_cell_angle_beta 138.90
_cell_angle_gamma 59.52
_symmetry_space_group_name_H-M 'P 1'
_symmetry_Int_Tables_number 1
loop_
_symmetry_equiv_pos_as_xyz
'x,y,z'
loop_
_atom_site_label
_atom_site_type_symbol
_atom_site_fract_x
_atom_site_fract_y
_atom_site_fract_z
Tb1 Tb 0.000 0.000 0.000
Th1 Th 0.286 0.286 0.000
Th2 Th 0.714 0.714 0.000
Au1 Au 0.112 0.612 0.500
Au2 Au 0.388 0.888 0.500
Au3 Au 0.612 0.112 0.500
Au4 Au 0.888 0.388 0.500


Entry 3:
# KU2AgS6 (PBE-GGA, optimized geometry)
# E_form (uncorrected) (eV/atom): -1.043
data_KU2AgS6
_cell_length_a 7.296
_cell_length_b 7.296
_cell_length_c 7.296
_cell_angle_alpha 57.11
_cell_angle_beta 57.11
_cell_angle_gamma 57.11
_symmetry_space_group_name_H-M 'P 1'
_symmetry_Int_Tables_number 1
loop_
_symmetry_equiv_pos_as_xyz
'x,y,z'
loop_
_atom_site_label
_atom_site_type_symbol
_atom_site_fract_x
_atom_site_fract_y
_atom_site_fract_z
K1 K 0.000 0.000 0.000
U1 U 0.247 0.247 0.247
U2 U 0.756 0.756 0.756
Ag1 Ag 0.443 0.443 0.443
S1 S 0.130 0.498 0.872
S2 S 0.444 0.998 0.558
S3 S 0.498 0.872 0.130
S4 S 0.558 0.444 0.998
S5 S 0.872 0.130 0.498
S6 S 0.998 0.558 0.444


Entry 4:
# CrC2Br2 (PBE-GGA, optimized geometry)
# Offset from the most stable computed form (meV/atom): 0
# E_form (uncorrected) (eV/atom): 1.006
data_CrC2Br2
_cell_length_a 5.330
_cell_length_b 5.330
_cell_length_c 5.330
_cell_angle_alpha 104.15
_cell_angle_beta 104.15
_cell_angle_gamma 120.73
_symmetry_space_group_name_H-M 'P 1'
_symmetry_Int_Tables_number 1
loop_
_symmetry_equiv_pos_as_xyz
'x,y,z'
loop_
_atom_site_label
_atom_site_type_symbol
_atom_site_fract_x
_atom_site_fract_y
_atom_site_fract_z
Cr1 Cr 0.000 0.000 0.000
C1 C 0.379 0.379 0.000
C2 C 0.621 0.621 0.000
Br1 Br 0.250 0.750 0.500
Br2 Br 0.750 0.250 0.500